# CsGa2AsS6, relaxed, DFT PBE
data_CsGa2AsS6
_cell_length_a 13.324
_cell_length_b 13.599
_cell_length_c 7.448
_cell_angle_alpha 90.00
_cell_angle_beta 113.59
_cell_angle_gamma 90.00
_space_group_name_H-M_alt 'C 1 2/c 1'
_space_group_IT_number 15
loop_
_space_group_symop_operation_xyz
'x,y,z'
'-x,-y,-z'
'-x,y,-z+1/2'
'x,-y,z+1/2'
'x+1/2,y+1/2,z'
'-x+1/2,-y+1/2,-z'
'-x+1/2,y+1/2,-z+1/2'
'x+1/2,-y+1/2,z+1/2'
loop_
_atom_site_label
_atom_site_fract_x
_atom_site_fract_y
_atom_site_fract_z
Cs1 0.000 0.088 0.250
Ga1 0.203 0.428 0.101
As1 0.000 0.251 0.750
S1 0.048 0.334 0.028
S2 0.130 0.162 0.710
S3 0.214 0.443 0.425
# Total magnetic moment: 0.00 μB/f.u.
# Formation energy from raw total energies: -0.442 eV per atom

=====

# La2UAs3Rh12, relaxed, DFT PBE
data_La2UAs3Rh12
_cell_length_a 8.1949
_cell_length_b 8.1949
_cell_length_c 18.1678
_cell_angle_alpha 90.00
_cell_angle_beta 90.00
_cell_angle_gamma 120.00
_space_group_name_H-M_alt 'R -3 m'
_space_group_IT_number 166
_space_group_name_Hall '-R 3 2"'
loop_
_atom_site_label
_atom_site_fract_x
_atom_site_fract_y
_atom_site_fract_z
La1 0.0000 0.0000 0.1024
U1 0.0000 0.0000 0.5000
As1 0.0000 0.5000 0.0000
Rh1 0.0103 0.5051 0.8676
Rh2 0.0242 0.5121 0.3723
# Formation enthalpy at 0 K: -0.22 eV/atom
# Total magnetic moment: 0.00 μB/f.u.

=====

# EuEr2Au, relaxed, DFT PBE
data_EuEr2Au
_cell_length_a 3.613
_cell_length_b 3.613
_cell_length_c 8.966
_cell_angle_alpha 90.00
_cell_angle_beta 90.00
_cell_angle_gamma 90.00
_space_group_name_H-M_alt 'P 4/m m m'
_space_group_IT_number 123
_space_group_name_Hall '-P 4 2'
loop_
_atom_site_label
_atom_site_fract_x
_atom_site_fract_y
_atom_site_fract_z
Eu1 0.000 0.000 0.000
Er1 0.500 0.500 0.310
Au1 0.000 0.000 0.500
# Formation enthalpy at 0 K: -0.36 eV/atom
# Total magnetic moment: 8.05 μB/f.u.

=====

# MnBN2, relaxed, DFT PBE
data_MnBN2
_cell_length_a 4.190
_cell_length_b 4.190
_cell_length_c 7.215
_cell_angle_alpha 90.00
_cell_angle_beta 90.00
_cell_angle_gamma 90.00
_space_group_name_H-M_alt 'I -4 2 d'
_space_group_IT_number 122
_space_group_name_Hall 'I -4 2bw'
loop_
_atom_site_label
_atom_site_fract_x
_atom_site_fract_y
_atom_site_fract_z
Mn1 0.000 0.000 0.000
B1 0.000 0.000 0.500
N1 0.180 0.250 0.625
# Total magnetic moment: 2.00 μB/f.u.
# Formation energy from raw total energies: -0.407 eV per atom

=====

# Ce3PuSn2, relaxed, DFT PBE
data_Ce3PuSn2
_cell_length_a 8.978
_cell_length_b 3.453
_cell_length_c 20.634
_cell_angle_alpha 90.00
_cell_angle_beta 90.00
_cell_angle_gamma 90.00
_space_group_name_H-M_alt 'P n m a'
_space_group_IT_number 62
loop_
_space_group_symop_operation_xyz
'x,y,z'
'-x,-y,-z'
'-x+1/2,-y,z+1/2'
'x+1/2,y,-z+1/2'
'x+1/2,-y+1/2,-z+1/2'
'-x+1/2,y+1/2,z+1/2'
'-x,y+1/2,-z'
'x,-y+1/2,z'
loop_
_atom_site_label
_atom_site_fract_x
_atom_site_fract_y
_atom_site_fract_z
Ce1 0.051 0.250 0.177
Ce2 0.084 0.750 0.692
Ce3 0.109 0.250 0.958
Pu1 0.076 0.250 0.428
Sn1 0.232 0.750 0.306
Sn2 0.237 0.250 0.575
# Formation enthalpy at 0 K: -0.36 eV/atom
# Total magnetic moment: 8.61 μB/f.u.

=====

# CrHRu2Rh, relaxed, DFT PBE
data_CrHRu2Rh
_cell_length_a 3.855
_cell_length_b 3.855
_cell_length_c 3.834
_cell_angle_alpha 90.00
_cell_angle_beta 90.00
_cell_angle_gamma 90.00
_space_group_name_H-M_alt 'P 4/m m m'
_space_group_IT_number 123
_space_group_name_Hall '-P 4 2'
loop_
_atom_site_label
_atom_site_fract_x
_atom_site_fract_y
_atom_site_fract_z
Cr1 0.000 0.000 0.000
H1 0.500 0.500 0.500
Ru1 0.000 0.500 0.500
Rh1 0.500 0.500 0.000
# Total magnetic moment: 0.66 μB/f.u.
# DFT total energy: -7.75 eV per atom